# DyPb3F8 GGA-PBE relaxed
# **E**: -5.32 eV/atom
# **Raw formation energy**: -2.760 eV/atom
# **Magnetization**: 0.000 μB per atom
data_DyPb3F8
_chemical_formula_sum 'Dy1 Pb3 F8'
_cell_length_a 5.924
_cell_length_b 5.924
_cell_length_c 5.924
_cell_angle_alpha 90.00
_cell_angle_beta 90.00
_cell_angle_gamma 90.00
_symmetry_space_group_name_H-M 'P m -3 m'
_symmetry_Int_Tables_number 221
_symmetry_space_group_name_Hall '-P 4 2 3'
loop_
_atom_site_label
_atom_site_fract_x
_atom_site_fract_y
_atom_site_fract_z
_atom_site_occupancy
Dy1 0.000 0.000 0.000 1
Pb1 0.000 0.500 0.500 1
F1 0.224 0.224 0.224 1

# Ta2WBr GGA-PBE relaxed
# **E**: -9.17 eV/atom
# **Raw formation energy**: 0.415 eV/atom
# **Magnetization**: 0.000 μB per atom
data_Ta2WBr
_chemical_formula_sum 'Ta4 W2 Br2'
_cell_length_a 3.258
_cell_length_b 4.976
_cell_length_c 9.798
_cell_angle_alpha 90.00
_cell_angle_beta 90.00
_cell_angle_gamma 90.00
_symmetry_space_group_name_H-M 'C m m 2'
_symmetry_Int_Tables_number 35
loop_
_symmetry_equiv_pos_as_xyz
'x,y,z'
'-x,-y,z'
'-x,y,z'
'x,-y,z'
'x+1/2,y+1/2,z'
'-x+1/2,-y+1/2,z'
'-x+1/2,y+1/2,z'
'x+1/2,-y+1/2,z'
loop_
_atom_site_label
_atom_site_fract_x
_atom_site_fract_y
_atom_site_fract_z
_atom_site_occupancy
Ta1 0.000 0.000 0.000 1
Ta2 0.000 0.500 0.237 1
W1 0.000 0.500 0.788 1
Br1 0.000 0.000 0.453 1

# Ce2CdIr GGA-PBE relaxed
# **E**: -5.87 eV/atom
# **Calculated formation energy**: -0.462 eV/atom
# **Magnetization**: 0.250 μB per atom
data_Ce2CdIr
_chemical_formula_sum 'Ce4 Cd2 Ir2'
_cell_length_a 6.858
_cell_length_b 3.575
_cell_length_c 7.751
_cell_angle_alpha 90.00
_cell_angle_beta 90.00
_cell_angle_gamma 90.00
_symmetry_space_group_name_H-M 'P m m a'
_symmetry_Int_Tables_number 51
loop_
_symmetry_equiv_pos_as_xyz
'x,y,z'
'-x,-y,-z'
'-x+1/2,-y,z'
'x+1/2,y,-z'
'x+1/2,-y,-z'
'-x+1/2,y,z'
'-x,y,-z'
'x,-y,z'
loop_
_atom_site_label
_atom_site_fract_x
_atom_site_fract_y
_atom_site_fract_z
_atom_site_occupancy
Ce1 0.035 0.000 0.212 1
Cd1 0.250 0.500 0.528 1
Ir1 0.250 0.500 0.935 1

# K2Pd3F8 GGA-PBE relaxed
# **E**: -4.16 eV/atom
# **Raw formation energy**: -1.640 eV/atom
# **Magnetization**: 0.462 μB per atom
data_K2Pd3F8
_chemical_formula_sum 'K4 Pd6 F16'
_cell_length_a 12.562
_cell_length_b 6.832
_cell_length_c 5.811
_cell_angle_alpha 90.00
_cell_angle_beta 109.89
_cell_angle_gamma 90.00
_symmetry_space_group_name_H-M 'C 1 2/m 1'
_symmetry_Int_Tables_number 12
loop_
_symmetry_equiv_pos_as_xyz
'x,y,z'
'-x,-y,-z'
'-x,y,-z'
'x,-y,z'
'x+1/2,y+1/2,z'
'-x+1/2,-y+1/2,-z'
'-x+1/2,y+1/2,-z'
'x+1/2,-y+1/2,z'
loop_
_atom_site_label
_atom_site_fract_x
_atom_site_fract_y
_atom_site_fract_z
_atom_site_occupancy
K1 0.221 0.000 0.163 1
Pd1 0.000 0.246 0.500 1
Pd2 0.000 0.500 0.000 1
F1 0.096 0.500 0.408 1
F2 0.102 0.000 0.450 1
F3 0.102 0.281 0.890 1

# CdSb3Pb GGA-PBE relaxed
# **E**: -2.80 eV/atom
# **Raw formation energy**: 0.594 eV/atom
# **Magnetization**: 0.000 μB per atom
data_CdSb3Pb
_chemical_formula_sum 'Cd1 Sb3 Pb1'
_cell_length_a 5.537
_cell_length_b 5.537
_cell_length_c 5.537
_cell_angle_alpha 90.00
_cell_angle_beta 90.00
_cell_angle_gamma 90.00
_symmetry_space_group_name_H-M 'P m -3 m'
_symmetry_Int_Tables_number 221
_symmetry_space_group_name_Hall '-P 4 2 3'
loop_
_atom_site_label
_atom_site_fract_x
_atom_site_fract_y
_atom_site_fract_z
_atom_site_occupancy
Cd1 0.000 0.000 0.000 1
Sb1 0.000 0.000 0.500 1
Pb1 0.500 0.500 0.500 1

# TbDy2Ag3S6 GGA-PBE relaxed
# **E**: -5.24 eV/atom
# **Raw formation energy**: -1.306 eV/atom
# **Magnetization**: 0.000 μB per atom
data_TbDy2Ag3S6
_chemical_formula_sum 'Tb2 Dy4 Ag6 S12'
_cell_length_a 15.514
_cell_length_b 4.052
_cell_length_c 9.594
_cell_angle_alpha 90.00
_cell_angle_beta 106.01
_cell_angle_gamma 90.00
_symmetry_space_group_name_H-M 'C 1 2/m 1'
_symmetry_Int_Tables_number 12
loop_
_symmetry_equiv_pos_as_xyz
'x,y,z'
'-x,-y,-z'
'-x,y,-z'
'x,-y,z'
'x+1/2,y+1/2,z'
'-x+1/2,-y+1/2,-z'
'-x+1/2,y+1/2,-z'
'x+1/2,-y+1/2,z'
loop_
_atom_site_label
_atom_site_fract_x
_atom_site_fract_y
_atom_site_fract_z
_atom_site_occupancy
Tb1 0.000 0.000 0.000 1
Dy1 0.165 0.500 0.336 1
Ag1 0.000 0.000 0.500 1
Ag2 0.176 0.500 0.940 1
S1 0.012 0.500 0.809 1
S2 0.157 0.000 0.521 1
S3 0.183 0.000 0.144 1

# ZnGa2I GGA-PBE relaxed
# **E**: -1.97 eV/atom
# **Raw formation energy**: 0.249 eV/atom
# **Magnetization**: 0.000 μB per atom
data_ZnGa2I
_chemical_formula_sum 'Zn4 Ga8 I4'
_cell_length_a 7.488
_cell_length_b 7.488
_cell_length_c 7.488
_cell_angle_alpha 90.00
_cell_angle_beta 90.00
_cell_angle_gamma 90.00
_symmetry_space_group_name_H-M 'F m -3 m'
_symmetry_Int_Tables_number 225
_symmetry_space_group_name_Hall '-F 4 2 3'
loop_
_atom_site_label
_atom_site_fract_x
_atom_site_fract_y
_atom_site_fract_z
_atom_site_occupancy
Zn1 0.000 0.000 0.000 1
Ga1 0.250 0.250 0.250 1
I1 0.000 0.000 0.500 1

# Tb3Y2Ho4 GGA-PBE relaxed
# **E**: -4.91 eV/atom
# **Calculated formation energy**: 0.101 eV/atom
# **Magnetization**: 0.000 μB per atom
data_Tb3Y2Ho4
_chemical_formula_sum 'Tb12 Y8 Ho16'
_cell_length_a 16.278
_cell_length_b 11.528
_cell_length_c 6.092
_cell_angle_alpha 90.00
_cell_angle_beta 96.16
_cell_angle_gamma 90.00
_symmetry_space_group_name_H-M 'C 1 2/c 1'
_symmetry_Int_Tables_number 15
loop_
_symmetry_equiv_pos_as_xyz
'x,y,z'
'-x,-y,-z'
'-x,y,-z+1/2'
'x,-y,z+1/2'
'x+1/2,y+1/2,z'
'-x+1/2,-y+1/2,-z'
'-x+1/2,y+1/2,-z+1/2'
'x+1/2,-y+1/2,z+1/2'
loop_
_atom_site_label
_atom_site_fract_x
_atom_site_fract_y
_atom_site_fract_z
_atom_site_occupancy
Tb1 0.000 0.099 0.250 1
Tb2 0.166 0.404 0.086 1
Y1 0.121 0.139 0.818 1
Ho1 0.046 0.360 0.514 1
Ho2 0.214 0.142 0.346 1

# Ba7Pd2Au2 GGA-PBE relaxed
# **E**: -3.10 eV/atom
# **Calculated formation energy**: -0.339 eV/atom
# **Magnetization**: 0.000 μB per atom
data_Ba7Pd2Au2
_chemical_formula_sum 'Ba14 Pd4 Au4'
_cell_length_a 9.914
_cell_length_b 13.861
_cell_length_c 8.368
_cell_angle_alpha 90.00
_cell_angle_beta 96.99
_cell_angle_gamma 90.00
_symmetry_space_group_name_H-M 'C 1 2/m 1'
_symmetry_Int_Tables_number 12
loop_
_symmetry_equiv_pos_as_xyz
'x,y,z'
'-x,-y,-z'
'-x,y,-z'
'x,-y,z'
'x+1/2,y+1/2,z'
'-x+1/2,-y+1/2,-z'
'-x+1/2,y+1/2,-z'
'x+1/2,-y+1/2,z'
loop_
_atom_site_label
_atom_site_fract_x
_atom_site_fract_y
_atom_site_fract_z
_atom_site_occupancy
Ba1 0.000 0.000 0.000 1
Ba2 0.072 0.500 0.751 1
Ba3 0.248 0.200 0.737 1
Pd1 0.213 0.500 0.102 1
Au1 0.000 0.311 0.500 1

# Y2Nb2Re GGA-PBE relaxed
# **E**: -8.94 eV/atom
# **Calculated formation energy**: 0.167 eV/atom
# **Magnetization**: 0.000 μB per atom
data_Y2Nb2Re
_chemical_formula_sum 'Y4 Nb4 Re2'
_cell_length_a 6.654
_cell_length_b 6.654
_cell_length_c 5.179
_cell_angle_alpha 90.00
_cell_angle_beta 90.00
_cell_angle_gamma 90.00
_symmetry_space_group_name_H-M 'P 4/m b m'
_symmetry_Int_Tables_number 127
_symmetry_space_group_name_Hall '-P 4 2ab'
loop_
_atom_site_label
_atom_site_fract_x
_atom_site_fract_y
_atom_site_fract_z
_atom_site_occupancy
Y1 0.173 0.327 0.000 1
Nb1 0.144 0.644 0.500 1
Re1 0.000 0.000 0.500 1